Density functional theory data (GGA-PBE) for a relaxed structure of CdAgH3.

a b c (Å): 3.921 3.921 3.921
angles (deg): 90.00 90.00 90.00
Space group Pm-3m (No. 221)
Symmetry-distinct sites (fractional):
Cd 0.000 0.000 0.000 x1
Ag 0.500 0.500 0.500 x1
H 0.000 0.000 0.500 x3

Results
M_tot: 0.00 μB/f.u.
DOS(E_F): 0.9 states/eV per cell
DFT total energy: -2.1395 eV per atom

---

Density functional theory data (GGA-PBE) for a relaxed structure of Cd2AgH.

a b c (Å): 6.600 6.600 6.600
angles (deg): 90.00 90.00 90.00
Space group Fm-3m (No. 225)
Symmetry-distinct sites (fractional):
Cd 0.250 0.250 0.250 x8
Ag 0.000 0.000 0.000 x4
H 0.000 0.000 0.500 x4

Results
M_tot: 0.08 μB/f.u.
DOS(E_F): 6.5 states/eV per cell
DFT total energy: -1.5546 eV per atom

---

Density functional theory data (GGA-PBE) for a relaxed structure of Cd2AgH2.

a b c (Å): 5.804 5.804 4.344
angles (deg): 90.00 90.00 90.00
Space group P4/mbm (No. 127)
Symmetry-distinct sites (fractional):
Cd 0.178 0.322 0.000 x4
Ag 0.000 0.000 0.500 x2
H 0.220 0.280 0.500 x4

Results
M_tot: 0.00 μB/f.u.
DOS(E_F): 2.2 states/eV per cell
DFT total energy: -1.9977 eV per atom

---

Density functional theory data (GGA-PBE) for a relaxed structure of Cd3AgH.

a b c (Å): 5.326 5.326 5.326
angles (deg): 90.00 90.00 90.00
Space group Pm-3m (No. 221)
Symmetry-distinct sites (fractional):
Cd 0.000 0.000 0.500 x3
Ag 0.000 0.000 0.000 x1
H 0.500 0.500 0.500 x1

Results
M_tot: 0.40 μB/f.u.
DOS(E_F): 1.8 states/eV per cell
DFT total energy: -1.1748 eV per atom